Here is an optimized crystal structure of YZnF5 from Alexandria. Energies are from PBE.

As for the final energy: -5.762 eV per atom. Its size of the total moment is 0.0 μB/f.u. The symmetry is No. 15. The volume is 212.29 Å³ per cell.

Lattice parameters (Å, degrees): 5.653 5.653 7.610 109.34 109.34 73.43
Fractional positions:
Y 0.053 0.947 0.750
Y 0.947 0.053 0.250
Zn 0.500 0.500 0.000
Zn 0.500 0.500 0.500
F 0.175 0.805 0.035
F 0.195 0.825 0.465
F 0.234 0.287 0.375
F 0.287 0.234 0.875
F 0.389 0.611 0.750
F 0.611 0.389 0.250
F 0.713 0.766 0.125
F 0.766 0.713 0.625
F 0.805 0.175 0.535
F 0.825 0.195 0.965

Here is an optimized crystal structure of Y2ZnF from Alexandria. Energies are from PBE.

As for the final energy: -4.787 eV per atom. The energy relative to the lowest polymorph listed for this composition comes out at 0.305 eV per atom. Its size of the total moment is 0.0 μB/f.u. The symmetry is No. 166. The volume is 94.14 Å³ per cell.

Lattice parameters (Å, degrees): 9.710 9.710 9.710 20.05 20.05 20.05
Fractional positions:
Y 0.105 0.105 0.105
Y 0.895 0.895 0.895
Zn 0.000 0.000 0.000
F 0.500 0.500 0.500

Here is an optimized crystal structure of Y2Zn2F from Alexandria. Energies are from PBE.

As for the final energy: -4.543 eV per atom. The energy relative to the lowest polymorph listed for this composition comes out at 0.000 eV per atom. Its size of the total moment is 0.0 μB/f.u. The symmetry is No. 127. The volume is 218.22 Å³ per cell.

Lattice parameters (Å, degrees): 6.723 6.723 4.828 90.00 90.00 90.00
Fractional positions:
Y 0.173 0.327 0.000
Y 0.327 0.827 0.000
Y 0.673 0.173 0.000
Y 0.827 0.673 0.000
Zn 0.131 0.631 0.500
Zn 0.369 0.131 0.500
Zn 0.631 0.869 0.500
Zn 0.869 0.369 0.500
F 0.000 0.000 0.000
F 0.500 0.500 0.000

Here is an optimized crystal structure of YZn2F6 from Alexandria. Energies are from PBE.

As for the final energy: -5.017 eV per atom. Its size of the total moment is 0.0 μB/f.u. The symmetry is No. 12. The volume is 130.07 Å³ per cell.

Lattice parameters (Å, degrees): 5.652 5.652 7.241 117.64 117.64 40.30
Fractional positions:
Y 0.000 0.000 0.000
Zn 0.179 0.179 0.616
Zn 0.821 0.821 0.384
F 0.020 0.020 0.701
F 0.242 0.242 0.312
F 0.372 0.372 0.960
F 0.628 0.628 0.040
F 0.758 0.758 0.688
F 0.980 0.980 0.299

Here is an optimized crystal structure of Y2ZnF from Alexandria. Energies are from PBE.

As for the final energy: -4.910 eV per atom. The energy relative to the lowest polymorph listed for this composition comes out at 0.182 eV per atom. Its size of the total moment is 0.0 μB/f.u. The symmetry is No. 225. The volume is 85.88 Å³ per cell.

Lattice parameters (Å, degrees): 4.952 4.952 4.952 60.00 60.00 60.00
Fractional positions:
Y 0.250 0.250 0.250
Y 0.750 0.750 0.750
Zn 0.000 0.000 0.000
F 0.500 0.500 0.500

Here is an optimized crystal structure of YZrF7 from Alexandria. Energies are from PBE.

As for the final energy: -7.016 eV per atom. Its size of the total moment is 0.1 μB/f.u. The symmetry is No. 4. The volume is 291.05 Å³ per cell.

Lattice parameters (Å, degrees): 6.113 5.862 8.344 90.00 103.25 90.00
Fractional positions:
Y 0.151 0.000 0.188
Y 0.849 0.500 0.812
Zr 0.318 0.003 0.726
Zr 0.682 0.503 0.274
F 0.017 0.731 0.007
F 0.081 0.754 0.707
F 0.092 0.265 0.708
F 0.269 0.001 0.476
F 0.363 0.005 0.975
F 0.428 0.268 0.255
F 0.433 0.742 0.260
F 0.567 0.242 0.740
F 0.572 0.768 0.745
F 0.637 0.505 0.025
F 0.731 0.501 0.524
F 0.908 0.765 0.292
F 0.919 0.254 0.293
F 0.983 0.231 0.993

Here is an optimized crystal structure of YZrF2 from Alexandria. Energies are from PBE.

As for the final energy: -6.681 eV per atom. The energy relative to the lowest polymorph listed for this composition comes out at 0.000 eV per atom. Its size of the total moment is 1.1 μB/f.u. The symmetry is No. 166. The volume is 70.83 Å³ per cell.

Lattice parameters (Å, degrees): 8.088 8.088 8.088 22.99 22.99 22.99
Fractional positions:
Y 0.000 0.000 0.000
Zr 0.500 0.500 0.500
F 0.405 0.405 0.405
F 0.595 0.595 0.595

Here is an optimized crystal structure of YZr2F from Alexandria. Energies are from PBE.

As for the final energy: -6.113 eV per atom. The energy relative to the lowest polymorph listed for this composition comes out at 0.700 eV per atom. Its size of the total moment is 0.0 μB/f.u. The symmetry is No. 225. The volume is 88.84 Å³ per cell.

Lattice parameters (Å, degrees): 5.009 5.009 5.009 60.00 60.00 60.00
Fractional positions:
Y 0.000 0.000 0.000
Zr 0.250 0.250 0.250
Zr 0.750 0.750 0.750
F 0.500 0.500 0.500